[1]
A relaxed La2ErO4 crystal. Source: OQMD, functional PBE-GGA.

a b c (Å): 7.0350 7.0350 7.0350
angles (deg): 119.99 90.01 119.99
Last column: nearest neighbours and their distance in Å.
Element x y z (fractional)
Er 0.7500 0.5000 0.2500  4 O 2.13
O 0.6261 0.2523 0.3738  1 Er 2.13
La 0.8750 0.2500 0.6250  6 O 2.50
O 0.6262 0.2523 0.8785  1 Er 2.13
La 0.3750 0.2500 0.6250  6 O 2.50
La 0.3750 0.7500 0.1250  6 O 2.50
O 0.1215 0.7477 0.3738  1 Er 2.13
O 0.1238 0.2477 0.3715  1 Er 2.13
Er 0.0000 0.0000 0.0000  4 O 2.13
O 0.6262 0.7477 0.3739  1 Er 2.13
O 0.6285 0.7523 0.8762  1 Er 2.13
La 0.3750 0.7500 0.6250  6 O 2.50
O 0.1239 0.2477 0.8762  1 Er 2.13
O 0.1238 0.7523 0.8761  1 Er 2.13

Properties
Total DFT energy (no corrections)   -8.05 eV/atom
Crystal system   cubic

***

[2]
A relaxed YEr2In3Ni2Ag crystal. Source: OQMD, functional PBE-GGA.

a b c (Å): 3.7732 7.6484 7.6484
angles (deg): 120.09 90.00 90.00
Last column: nearest neighbours and their distance in Å.
Element x y z (fractional)
Y 0.5000 0.4091 0.4091  4 Ni 3.00, 6 In 3.06-3.35, 1 Ag 3.13
Ni 0.0000 0.6692 0.3325  3 In 2.77-2.81, 4 Er 2.97-2.98, 2 Y 3.00
Er 0.5000 0.0003 0.5904  4 Ni 2.97-2.98, 2 In 3.06, 1 Ag 3.13
Ni 0.0000 0.3325 0.6692  3 In 2.77-2.81, 4 Er 2.97-2.98, 2 Y 3.00
In 0.0000 0.9994 0.2752  2 Ni 2.77-2.81, 2 Ag 2.83, 2 Er 3.06
Er 0.5000 0.5904 0.0003  4 Ni 2.97-2.98, 2 In 3.06, 1 Ag 3.13
In 0.0000 0.2752 0.9994  2 Ni 2.77-2.81, 2 Ag 2.83, 2 Er 3.06
In 0.0000 0.7251 0.7251  2 Ni 2.81, 2 Ag 2.82, 2 Y 3.06
Ag 0.5000 0.9989 0.9989  6 In 2.82-2.83, 2 Er 3.13, 1 Y 3.13

Properties
Total DFT energy (no corrections)   -4.66 eV/atom
Crystal system   orthorhombic

***

[3]
A relaxed HoErZr2Sb2 crystal. Source: OQMD, functional PBE-GGA.

a b c (Å): 8.8214 8.8214 8.8214
angles (deg): 152.02 152.02 39.98
Last column: nearest neighbours and their distance in Å.
Element x y z (fractional)
Zr 0.5001 0.0001 0.5000  4 Zr 3.02, 4 Sb 3.08
Zr 0.0001 0.5001 0.5000  4 Zr 3.02, 4 Sb 3.08
Er 0.6768 0.6768 0.0000  5 Sb 3.10-3.13
Sb 0.1343 0.1343 0.0000  4 Zr 3.08, 4 Er 3.10, 1 Ho 3.13
Ho 0.3228 0.3228 0.0000  5 Sb 3.10-3.13
Sb 0.8658 0.8658 0.0000  4 Zr 3.08, 4 Ho 3.10, 1 Er 3.13

Properties
Total DFT energy (no corrections)   -6.53 eV/atom
Crystal system   tetragonal

***

[4]
A relaxed CsYZn crystal. Source: OQMD, functional PBE-GGA.

a b c (Å): 5.4404 5.4404 5.4404
angles (deg): 60.00 60.00 60.00
Last column: nearest neighbours and their distance in Å.
Element x y z (fractional)
Zn 0.7500 0.7500 0.7500  4 Y 3.33
Cs 0.2500 0.2500 0.2500  4 Y 3.33
Y 0.0000 0.0000 0.0000  4 Zn 3.33, 4 Cs 3.33

Properties
Total DFT energy (no corrections)   -2.00 eV/atom
Energy above the most stable polymorph in this dataset   0.00 kJ per mole of atoms
Crystal system   cubic